Record 1
MnSnAsPtI | PBE | relaxed

Cell: 4.669 3.971 16.605 Å, 90.00 114.31 90.00°
Element x y z (fractional)
Sn 0.498 0.500 0.919
I 0.115 0.000 0.097
Pt 0.100 0.000 0.820
Pt 0.100 0.500 0.320
I 0.115 0.500 0.597
As 0.767 0.500 0.801
As 0.767 0.000 0.301
Mn 0.411 0.500 0.220
Sn 0.498 0.000 0.419
Mn 0.411 0.000 0.720

Properties
**Relative energy among the computed polymorphs**: 0.61 eV per formula unit
**Total DFT energy (no corrections)**: -5.20 eV per atom
**E_form (uncorrected)**: -0.120 eV/atom
**Total magnetization**: 7.69 μB/cell


Record 2
Pm12Ga6Rh | PBE | relaxed

Cell: 8.590 8.590 8.590 Å, 99.64 99.64 99.64°
Element x y z (fractional)
Pm 0.066 0.963 0.319
Pm 0.681 0.934 0.037
Ga 0.372 0.699 0.864
Ga 0.864 0.372 0.699
Pm 0.819 0.571 0.435
Pm 0.435 0.819 0.571
Rh 0.000 0.000 0.000
Ga 0.301 0.136 0.628
Pm 0.037 0.681 0.934
Ga 0.628 0.301 0.136
Pm 0.963 0.319 0.066
Pm 0.565 0.181 0.429
Ga 0.136 0.628 0.301
Ga 0.699 0.864 0.372
Pm 0.429 0.565 0.181
Pm 0.934 0.037 0.681
Pm 0.571 0.435 0.819
Pm 0.181 0.429 0.565
Pm 0.319 0.066 0.963

Properties
**Total DFT energy (no corrections)**: -4.59 eV per atom
**Calculated formation energy**: -5.7 kcal/mol of atoms
**Total magnetization**: 0.00 μB/cell


Record 3
Li7Bi4Au | PBE | relaxed

Cell: 5.140 9.616 6.233 Å, 79.37 65.65 74.50°
Element x y z (fractional)
Bi 0.580 0.232 0.607
Li 0.500 0.000 0.000
Li 0.081 0.705 0.133
Li 0.800 0.933 0.467
Li 0.919 0.295 0.867
Au 0.000 0.000 0.000
Bi 0.262 0.312 0.164
Li 0.638 0.478 0.245
Bi 0.738 0.688 0.836
Bi 0.420 0.768 0.393
Li 0.200 0.067 0.533
Li 0.362 0.522 0.755

Properties
**Total DFT energy (no corrections)**: -3.02 eV per atom
**Calculated formation energy**: -7.8 kcal/mol of atoms
**Total magnetization**: 0.00 μB/cell


Record 4
TaSi2 | PBE | relaxed

Cell: 5.100 5.100 5.100 Å, 106.42 106.42 115.77°
Element x y z (fractional)
Si 0.856 0.644 0.500
Si 0.644 0.144 0.788
Ta 0.250 0.250 0.000
Si 0.144 0.356 0.500
Si 0.356 0.856 0.212
Ta 0.750 0.750 0.000

Properties
**Total DFT energy (no corrections)**: -7.53 eV per atom
**E_form (uncorrected)**: 0.035 eV/atom
**Total magnetization**: 0.00 μB/cell


Record 5
YMo3 | PBE | relaxed

Cell: 2.704 4.629 5.886 Å, 90.00 90.00 90.00°
Element x y z (fractional)
Mo 0.500 0.500 0.802
Y 0.000 0.500 0.306
Mo 0.500 0.000 0.551
Mo 0.000 0.000 0.008

Properties
**Relative energy among the computed polymorphs**: 1.40 eV per formula unit
**Total DFT energy (no corrections)**: -9.13 eV per atom
**Calculated formation energy**: 13.9 kcal/mol of atoms
**Total magnetization**: 0.00 μB/cell


Record 6
Ag2AsIr | PBE | relaxed

Cell: 5.407 5.407 5.407 Å, 138.98 138.98 59.41°
Element x y z (fractional)
Ag 0.500 0.500 0.000
As 0.250 0.750 0.500
Ir 0.750 0.250 0.500
Ag 0.000 0.000 0.000

Properties
**Total DFT energy (no corrections)**: -4.48 eV per atom
**Calculated formation energy**: 7.5 kcal/mol of atoms
**Total magnetization**: 0.00 μB/cell


Record 7
NaGa2Hg | PBE | relaxed

Cell: 4.647 4.273 4.273 Å, 90.00 90.00 90.00°
Element x y z (fractional)
Na 0.500 0.000 0.000
Hg 0.500 0.500 0.500
Ga 0.000 0.500 0.000
Ga 0.000 0.000 0.500

Properties
**Total DFT energy (no corrections)**: -1.97 eV per atom
**Calculated formation energy**: -1.1 kcal/mol of atoms
**Total magnetization**: 0.00 μB/cell


Record 8
TaCu2Te | PBE | relaxed

Cell: 7.288 7.288 5.809 Å, 51.15 51.15 90.00°
Element x y z (fractional)
Te 0.500 0.500 0.000
Cu 0.623 0.125 0.250
Ta 0.000 0.000 0.000
Te 0.250 0.750 0.500
Cu 0.375 0.377 0.750
Cu 0.127 0.625 0.250
Cu 0.875 0.873 0.750
Ta 0.750 0.250 0.500

Properties
**Total DFT energy (no corrections)**: -5.36 eV per atom
**E_form (uncorrected)**: 0.434 eV/atom
**Total magnetization**: 0.00 μB/cell